(1)
! Ba2LaI7, relaxed, DFT PBE; values from VASP
! - energy (eV per atom) = -3.60
! - total magnetic moment (μB per formula unit) = 0.0
! - SG = P2_1/c, No. 14
! - energy relative to the lowest polymorph listed for this composition (meV per atom) = 14
! - E_form (uncorrected) (eV/f.u.) = -16.3
&SYSTEM
  ibrav = 0, nat = 40, ntyp = 3
/
ATOMIC_SPECIES
Ba 137.33 Ba.upf
La 138.91 La.upf
I 126.90 I.upf
ATOMIC_POSITIONS angstrom
Ba -1.033 1.652 4.460
Ba -5.090 4.544 12.357
Ba -1.238 8.872 8.242
Ba 2.818 9.715 0.345
Ba -0.988 2.676 15.450
Ba 3.068 3.519 7.553
Ba 6.920 7.847 3.438
Ba 2.863 10.740 11.335
La 2.175 7.493 4.560
La -1.881 11.094 12.458
La 3.711 1.297 3.337
La -0.345 4.899 11.235
I -6.067 7.944 13.318
I -2.011 10.643 5.421
I 0.186 8.352 2.163
I -3.871 10.235 10.061
I 1.024 0.282 1.891
I -3.032 5.914 9.789
I -0.683 6.505 5.776
I -4.739 12.082 13.674
I -2.102 2.136 12.074
I 3.798 2.924 0.586
I -0.259 3.272 8.484
I 1.954 4.059 4.176
I 3.950 6.768 1.907
I -0.106 11.819 9.804
I 1.936 0.572 5.991
I -2.120 5.623 13.888
I -0.124 8.332 11.619
I 2.089 9.119 7.311
I -1.968 9.468 15.209
I 3.932 10.255 3.721
I 6.569 0.309 2.121
I 2.513 5.887 10.019
I 4.862 6.478 6.006
I 0.805 12.109 13.904
I 5.700 2.156 5.734
I 1.644 4.039 13.632
I 3.841 1.748 10.374
I 7.897 4.447 2.477
CELL_PARAMETERS angstrom
9.942 0.000 0.000
0.000 12.391 0.000
-8.113 0.000 15.795

---

(2)
! Ba2LaI6, relaxed, DFT PBE; values from VASP
! - energy (eV per atom) = -3.56
! - total magnetic moment (μB per formula unit) = 1.1
! - SG = P4_2/mnm, No. 136
! - E_form (uncorrected) (eV/f.u.) = -13.9
&SYSTEM
  ibrav = 0, nat = 18, ntyp = 3
/
ATOMIC_SPECIES
Ba 137.33 Ba.upf
La 138.91 La.upf
I 126.90 I.upf
ATOMIC_POSITIONS angstrom
Ba 0.000 0.000 2.530
Ba 0.000 0.000 11.924
Ba 4.109 4.109 4.697
Ba 4.109 4.109 9.757
La 0.000 0.000 7.227
La 4.109 4.109 0.000
I 1.675 1.675 5.017
I 1.675 1.675 9.436
I 1.771 1.771 0.000
I 2.338 5.880 7.227
I 2.434 5.784 2.210
I 2.434 5.784 12.244
I 5.784 2.434 2.210
I 5.784 2.434 12.244
I 5.880 2.338 7.227
I 6.447 6.447 0.000
I 6.544 6.544 5.017
I 6.544 6.544 9.436
CELL_PARAMETERS angstrom
8.218 0.000 0.000
0.000 8.218 0.000
0.000 0.000 14.454

---

(3)
! BaLaI5, relaxed, DFT PBE; values from VASP
! - energy (eV per atom) = -3.66
! - total magnetic moment (μB per formula unit) = 0.0
! - SG = P2_1, No. 4
! - energy relative to the lowest polymorph listed for this composition (meV per atom) = 35
! - E_form (uncorrected) (eV/f.u.) = -11.0
&SYSTEM
  ibrav = 0, nat = 28, ntyp = 3
/
ATOMIC_SPECIES
Ba 137.33 Ba.upf
La 138.91 La.upf
I 126.90 I.upf
ATOMIC_POSITIONS angstrom
Ba 0.280 0.000 1.625
Ba 3.488 9.457 3.310
Ba 4.067 2.423 8.278
Ba 7.275 7.034 9.963
La -0.063 4.827 4.417
La 3.908 3.629 1.362
La 3.647 10.663 10.225
La 7.618 11.861 7.171
I 0.463 7.913 4.377
I 0.904 5.230 1.313
I 1.392 12.105 4.448
I 1.803 9.166 0.332
I 1.515 9.288 8.062
I 1.692 1.967 10.886
I 2.062 2.267 3.703
I 2.047 4.835 6.785
I 2.706 13.047 8.257
I 3.637 12.616 1.132
I 3.918 5.583 10.455
I 4.849 6.013 3.331
I 5.508 11.869 4.803
I 5.493 9.301 7.885
I 5.863 9.001 0.701
I 5.752 2.132 11.256
I 6.040 2.254 3.526
I 6.163 5.071 7.140
I 6.651 12.264 10.275
I 7.092 0.879 7.211
CELL_PARAMETERS angstrom
7.986 0.000 0.000
0.000 14.068 0.000
-0.431 0.000 11.588

---

Question: Which of these has the highest total magnetic moment?
Answer: Ba2LaI6

---

Question: Which value of E_form (uncorrected) does entry 1 give?
Answer: -16.3 eV/f.u.